(1)
Compound: NbGeO6
Source: Alexandria
Functional: PBE
Structure: relaxed

a b c (Å): 5.451 5.451 5.451
angles (deg): 60.00 60.00 60.00
Fractional positions:
Nb  0.000  0.000  0.000
Ge  0.500  0.500  0.500
O  0.258  0.258  0.742
O  0.258  0.742  0.258
O  0.258  0.742  0.742
O  0.742  0.258  0.258
O  0.742  0.258  0.742
O  0.742  0.742  0.258

* formation energy without anion corrections: -10.0 eV/f.u.
* Fermi-level density of states: 0.7380 states/eV per atom
* SG: Fm-3m

(2)
Compound: CaPtN3
Source: Alexandria
Functional: PBE
Structure: relaxed

a b c (Å): 4.167 4.167 4.167
angles (deg): 90.00 90.00 90.00
Fractional positions:
Ca  0.000  0.000  0.000
Pt  0.500  0.500  0.500
N  0.000  0.000  0.500
N  0.000  0.500  0.000
N  0.500  0.000  0.000

* formation energy without anion corrections: 13.2 eV/f.u.
* Fermi-level density of states: 1.3910 states/eV per atom
* SG: Pm-3m

(3)
Compound: PmPr5In3
Source: Alexandria
Functional: PBE
Structure: relaxed

a b c (Å): 9.687 9.687 6.985
angles (deg): 90.00 90.00 59.99
Fractional positions:
Pm  0.000  0.000  0.000
Pm  0.000  0.000  0.500
Pr  0.000  0.335  0.750
Pr  0.000  0.665  0.250
Pr  0.333  0.333  0.000
Pr  0.333  0.333  0.500
Pr  0.335  0.000  0.250
Pr  0.336  0.664  0.750
Pr  0.664  0.336  0.250
Pr  0.665  0.000  0.750
Pr  0.667  0.667  0.000
Pr  0.667  0.667  0.500
In  0.000  0.329  0.250
In  0.000  0.671  0.750
In  0.329  0.000  0.750
In  0.329  0.671  0.250
In  0.671  0.000  0.250
In  0.671  0.329  0.750

* Fermi-level density of states: 1.4204 states/eV per atom
* ΔH_f (0 K): -33 kJ per mole of atoms
* SG: Cmcm

(4)
Compound: Y3CoAg
Source: Alexandria
Functional: PBE
Structure: relaxed

a b c (Å): 5.167 5.167 5.167
angles (deg): 90.00 90.00 90.00
Fractional positions:
Y  0.000  0.000  0.500
Y  0.000  0.500  0.000
Y  0.500  0.000  0.000
Co  0.000  0.000  0.000
Ag  0.500  0.500  0.500

* Fermi-level density of states: 0.5453 states/eV per atom
* ΔH_f (0 K): -4 kJ per mole of atoms
* polymorph energy (0 for the lowest one): 3.669 kcal/mol of atoms
* SG: Pm-3m